(1)
# Ac3Cr2O7

A relaxed structure of Ac3Cr2O7 (PBE with a Hubbard U, the Alexandria database).

Cell and atoms, written as extended XYZ:
```
12
Lattice="-2.026 2.026 10.384 2.026 -2.026 10.384 2.026 2.026 -10.384" Properties=species:S:1:pos:R:3 pbc="T T T"
Ac 0.000 0.000 0.000
Ac 0.000 0.000 3.739
Ac 0.000 0.000 17.029
Cr 0.000 0.000 8.360
Cr 0.000 0.000 12.408
O 2.026 0.000 2.020
O 0.000 0.000 6.219
O 2.026 0.000 8.364
O 0.000 0.000 10.384
O 0.000 2.026 2.020
O 0.000 0.000 14.549
O 0.000 2.026 8.364
```

Properties
The calculation puts the total magnetic moment at 6.8 μB per formula unit. The calculation puts the electronic total energy at -7.91 eV/atom.

(2)
# AcCrO2

A relaxed structure of AcCrO2 (PBE with a Hubbard U, the Alexandria database).

Cell and atoms, written as extended XYZ:
```
12
Lattice="3.464 0.000 0.000 -1.732 3.000 0.000 0.000 0.000 19.827" Properties=species:S:1:pos:R:3 pbc="T T T"
Ac 0.000 0.000 0.000
Ac 0.000 2.000 13.218
Ac 1.732 1.000 6.609
Cr 0.000 0.000 9.914
Cr 0.000 2.000 3.305
Cr 1.732 1.000 16.523
O 0.000 0.000 2.374
O 0.000 0.000 17.454
O 0.000 2.000 10.844
O 0.000 2.000 15.592
O 1.732 1.000 4.235
O 1.732 1.000 8.983
```

Properties
The calculation puts the total magnetic moment at 3.4 μB per formula unit. The calculation puts the electronic total energy at -6.91 eV/atom.